A geometry-optimized Ba2CaH structure. Source: Alexandria via LeMat-Bulk, functional PBE-GGA.

Summary:
Calculated density: 3.1 g/cm3
Distance to the lowest polymorph of the same formula: 13 meV/atom

Lattice parameters (Å, degrees): 8.370 8.370 9.766 90.00 90.00 90.00
Space group I-42d (No. 122)
Inequivalent atoms, fractional coordinates:
Ba1 0.107 0.750 0.125 [8 per cell]
Ca1 0.000 0.000 0.500 [4 per cell]
H1 0.000 0.000 0.000 [4 per cell]

A geometry-optimized BaCaH2 structure. Source: Alexandria via LeMat-Bulk, functional PBE-GGA.

Summary:
Calculated density: 3.6 g/cm3
Distance to the lowest polymorph of the same formula: 450 meV/atom

Lattice parameters (Å, degrees): 6.911 6.911 6.911 90.00 90.00 90.00
Space group Fm-3m (No. 225)
Inequivalent atoms, fractional coordinates:
Ba1 0.000 0.000 0.000 [4 per cell]
Ca1 0.000 0.000 0.500 [4 per cell]
H1 0.250 0.250 0.250 [8 per cell]

A geometry-optimized Ba2CaH2 structure. Source: Alexandria via LeMat-Bulk, functional PBE-GGA.

Summary:
Calculated density: 3.3 g/cm3
Distance to the lowest polymorph of the same formula: 263 meV/atom

Lattice parameters (Å, degrees): 8.350 8.350 4.589 90.00 90.00 90.00
Space group P4/mbm (No. 127)
Inequivalent atoms, fractional coordinates:
Ba1 0.174 0.326 0.000 [4 per cell]
Ca1 0.000 0.000 0.500 [2 per cell]
H1 0.212 0.712 0.500 [4 per cell]